{
  "formula": "CdOsSe2",
  "functional": "GGA-PBE",
  "state": "relaxed",
  "cell": [[3.681, 0.000, 0.000], [0.000, 5.677, 0.010], [0.000, 3.126, 4.733]],
  "species": ["Cd", "Os", "Se", "Se"],
  "frac_coords": [[0.500, 0.250, 0.250], [0.500, 0.750, 0.750], [0.000, 0.910, 0.911], [0.000, 0.590, 0.589]],
  "final_energy_ev_per_cell": -18.475,
  "dos_ef_per_ev_fu": 3.0,
  "magmom_total_mub_per_fu": 0.00,
  "e_form_raw_mev_per_atom": 160,
  "spacegroup": "Cmmm"
}

***

{
  "formula": "CdOsSe",
  "functional": "GGA-PBE",
  "state": "relaxed",
  "cell": [[-1.622, 2.911, 2.907], [-4.214, 1.306, -0.296], [-2.938, -1.309, 3.034]],
  "species": ["Cd", "Os", "Se"],
  "frac_coords": [[0.500, 0.500, 0.500], [0.750, 0.750, 0.750], [0.000, 0.000, 0.000]],
  "final_energy_ev_per_cell": -13.318,
  "dos_ef_per_ev_fu": 4.3,
  "e_above_lowest_polymorph_ev_per_atom": 0.465,
  "magmom_total_mub_per_fu": 0.00,
  "e_form_raw_mev_per_atom": 771,
  "spacegroup": "F-43m"
}

***

{
  "formula": "CdOs2Se",
  "functional": "GGA-PBE",
  "state": "relaxed",
  "cell": [[-1.134, 1.053, -4.164], [-3.557, 0.344, -2.640], [-1.141, 5.355, 0.679]],
  "species": ["Cd", "Os", "Os", "Se"],
  "frac_coords": [[0.250, 0.250, 0.250], [0.006, 0.006, 0.954], [0.494, 0.494, 0.546], [0.750, 0.750, 0.750]],
  "final_energy_ev_per_cell": -23.943,
  "dos_ef_per_ev_fu": 3.8,
  "e_above_lowest_polymorph_ev_per_atom": 0.419,
  "magmom_total_mub_per_fu": 0.00,
  "e_form_raw_mev_per_atom": 729,
  "spacegroup": "C2/m"
}

***

{
  "formula": "CdOsSe2",
  "functional": "GGA-PBE",
  "state": "relaxed",
  "cell": [[-1.383, -2.071, 1.738], [0.188, -0.302, -3.016], [9.166, -5.205, 1.093]],
  "species": ["Cd", "Os", "Se", "Se"],
  "frac_coords": [[0.500, 0.500, 0.250], [0.500, 0.500, 0.750], [0.000, 0.000, 0.944], [0.000, 0.000, 0.556]],
  "final_energy_ev_per_cell": -17.360,
  "dos_ef_per_ev_fu": 3.8,
  "magmom_total_mub_per_fu": 0.00,
  "e_form_raw_mev_per_atom": 438,
  "spacegroup": "Cmmm"
}